{"formula": "CaBiS2N", "functional": "PBE", "state": "relaxed", "cell": [[5.287, 0.000, 0.000], [0.000, 5.287, 0.000], [0.000, 0.000, 4.316]], "species": ["Ca", "Bi", "S", "S", "N"], "fractional_positions": [[0.000, 0.000, 0.000], [0.500, 0.500, 0.500], [0.000, 0.500, 0.500], [0.500, 0.000, 0.500], [0.500, 0.500, 0.000]], "polymorph_energy_mev_per_atom": 0.0, "dos_at_fermi_per_ev_cell": 3.68, "formation_energy_uncorrected_ev_per_atom": 0.078, "space_group": "P4/mmm, No. 123", "magnetic_moment_mub_per_fu": 0.93}

{"formula": "CaEuI", "functional": "PBE", "state": "relaxed", "cell": [[5.680, 0.000, 0.000], [-2.840, 4.919, 0.000], [0.000, 0.000, 4.283]], "species": ["Ca", "Eu", "I"], "fractional_positions": [[0.000, 0.000, 0.000], [0.333, 0.667, 0.502], [0.667, 0.333, 0.991]], "polymorph_energy_mev_per_atom": 197.0, "dos_at_fermi_per_ev_cell": 2.52, "formation_energy_uncorrected_ev_per_atom": -0.458, "space_group": "P3m1, No. 156", "magnetic_moment_mub_per_fu": 7.56}

{"formula": "CuAg2Te2S6", "functional": "PBE", "state": "relaxed", "cell": [[3.291, -5.761, 0.000], [3.291, 5.761, 0.000], [-2.576, 0.000, 6.393]], "species": ["Cu", "Ag", "Ag", "Te", "Te", "S", "S", "S", "S", "S", "S"], "fractional_positions": [[0.000, 0.000, 0.000], [0.167, 0.833, 0.500], [0.833, 0.167, 0.500], [0.331, 0.669, 0.000], [0.669, 0.331, 0.000], [0.082, 0.429, 0.238], [0.192, 0.192, 0.780], [0.429, 0.082, 0.238], [0.571, 0.918, 0.762], [0.808, 0.808, 0.220], [0.918, 0.571, 0.762]], "dos_at_fermi_per_ev_cell": 4.84, "formation_energy_uncorrected_ev_per_atom": 0.040, "space_group": "C2/m, No. 12", "magnetic_moment_mub_per_fu": 0.00}

Number 1: total DFT energy (no corrections) -4.41 eV per atom. Number 2: total DFT energy (no corrections) -5.07 eV per atom. Number 3: total DFT energy (no corrections) -3.67 eV per atom.